{
  "formula": "PmMn4FeO8",
  "functional": "GGA+U",
  "state": "optimized geometry",
  "volume_a3_per_cell": 170.4,
  "sg": "R3m (160)",
  "dft_energy_ev_per_cell": -101.8,
  "cell": [[3.1189, 1.8007, 5.0575], [-3.1189, 1.8007, 5.0575], [0.0000, -3.6014, 5.0575]],
  "species": ["Pm", "Mn", "Mn", "Mn", "Mn", "Fe", "O", "O", "O", "O", "O", "O", "O", "O"],
  "fractional_positions": [[0.0000, 0.0000, 0.0000], [0.1271, 0.6243, 0.6243], [0.2509, 0.2509, 0.2509], [0.6243, 0.1271, 0.6243], [0.6243, 0.6243, 0.1271], [0.6234, 0.6234, 0.6234], [0.3883, 0.3883, 0.8364], [0.3883, 0.8364, 0.3883], [0.3894, 0.3894, 0.3894], [0.4306, 0.8556, 0.8556], [0.8364, 0.3883, 0.3883], [0.8556, 0.4306, 0.8556], [0.8556, 0.8556, 0.4306], [0.8556, 0.8556, 0.8556]]
}